Entry from Alexandria: Tb5Y4 after structural relaxation (GGA-PBE).

Output
**Total DFT energy (no corrections)**: -5.406 eV/atom
**Total magnetic moment**: 0.0 μB/cell
**Polymorph energy (0 for the lowest one)**: 0.000 eV per atom
**Energy of formation**: 0.039 eV per atom

a b c (Å): 3.631 9.119 9.119
angles (deg): 91.55 78.51 78.51
Element x y z (fractional)
Y (0.644, 0.333, 0.379)
Y (0.356, 0.000, 0.287)
Y (0.644, 0.713, 0.000)
Y (0.356, 0.621, 0.667)
Tb (0.000, 0.041, 0.959)
Tb (0.293, 0.373, 0.040)
Tb (0.000, 0.292, 0.708)
Tb (0.000, 0.667, 0.333)
Tb (0.707, 0.960, 0.627)